Record 1
A relaxed structure of NiAg2HgBr6. Source: Alexandria via LeMat-Bulk, functional GGA-PBE.

```
NiAg2HgBr6
1.0
7.055 0.000 0.000
-3.519 6.117 0.000
-3.507 -2.037 6.210
Ni Ag Hg Br
1 2 1 6
Direct
0.000 0.000 0.000
0.383 0.691 0.074
0.432 0.215 0.647
0.970 0.485 0.458
0.139 0.243 0.776
0.165 0.373 0.256
0.462 0.090 0.256
0.533 0.895 0.776
0.880 0.636 0.775
0.883 0.793 0.256
```

Computed properties:
SG = P1, No. 1
calculated volume = 268 Å³/cell
uncorrected formation energy = -0.293 eV/atom
density = 5.91 g/cm³

Record 2
A relaxed structure of NpAgHgBr6. Source: Alexandria via LeMat-Bulk, functional GGA-PBE.

```
NpAgHgBr6
1.0
6.990 0.000 0.000
-3.495 6.053 0.000
0.000 0.000 17.345
Np Ag Hg Br
2 2 2 12
Direct
0.333 0.667 0.250
0.667 0.333 0.750
0.333 0.667 0.750
0.667 0.333 0.250
0.000 0.000 0.000
0.000 0.000 0.500
0.018 0.355 0.157
0.018 0.663 0.343
0.337 0.355 0.343
0.337 0.982 0.157
0.355 0.018 0.657
0.355 0.337 0.843
0.645 0.663 0.157
0.645 0.982 0.343
0.663 0.018 0.843
0.663 0.645 0.657
0.982 0.337 0.657
0.982 0.645 0.843
```

Computed properties:
SG = P-31c, No. 163
calculated volume = 734 Å³/cell
uncorrected formation energy = -0.781 eV/atom
density = 4.64 g/cm³